a.
Here is crystalline Tb12Y2Ho5 at its relaxed geometry from the Alexandria database. Energies are from GGA-PBE.

Structure (POSCAR):
```
Tb12Y2Ho5
1.0
-8.452 -2.546 -2.508
6.922 -5.928 -0.521
-1.646 -2.433 8.017
Tb Y Ho
12 2 5
Cartesian
-2.213 -7.438 -1.779
3.304 -6.004 5.645
-2.075 -7.625 4.049
3.095 -5.706 1.852
-0.172 -6.690 0.883
1.285 -7.957 3.749
-4.461 -2.949 1.239
-6.271 -5.201 3.135
-3.004 -4.217 4.104
-6.480 -4.902 -0.657
-1.101 -3.282 0.939
-0.963 -3.469 6.766
-5.727 -1.725 -1.699
-2.725 -0.821 -0.809
0.307 -4.730 3.766
0.001 -6.740 6.840
-0.823 -1.216 4.008
-3.177 -4.167 -1.853
-3.483 -6.177 1.221
```

- space-group type = C2/m
- D(E_F) (states/eV/cell) = 28.755


b.
Here is crystalline Tb12Y2Ho5 at its relaxed geometry from the Alexandria database. Energies are from GGA-PBE.

Structure (POSCAR):
```
Tb12Y2Ho5
1.0
5.741 -2.111 -0.705
-6.584 10.270 -3.871
-0.042 -1.939 14.535
Tb Y Ho
12 2 5
Cartesian
-0.574 2.234 2.046
1.120 1.298 9.744
-1.177 3.480 11.336
-4.304 7.108 1.807
0.568 4.498 4.516
-1.733 6.688 6.103
0.848 -0.468 3.856
3.419 -0.888 8.152
-1.453 1.722 5.443
-2.005 4.922 0.214
0.292 2.740 -1.377
-0.311 3.986 7.913
-2.609 6.177 9.514
1.724 0.042 0.445
1.989 1.798 6.325
-3.432 7.613 -1.603
-0.021 -0.970 7.267
2.547 -1.393 11.561
-2.874 4.422 3.633
```

- space-group type = P-1
- D(E_F) (states/eV/cell) = 26.835


Relative energies, eV/atom: a 0.114; b 0.000.


a.
Here is crystalline Tb5YHo5 at its relaxed geometry from the Alexandria database. Energies are from GGA-PBE.

Structure (POSCAR):
```
Tb5YHo5
1.0
-0.959 -5.853 1.181
3.989 3.134 3.291
-8.377 2.869 7.420
Tb Y Ho
5 1 5
Cartesian
-0.616 -2.410 3.041
-6.380 -0.435 8.147
-0.327 1.052 4.950
-3.370 2.094 7.645
0.000 0.000 0.000
2.340 0.139 2.588
-3.841 -0.002 4.657
-2.218 0.760 1.965
-2.334 -1.354 6.881
-4.318 -2.912 5.244
-6.158 2.109 5.455
```

- space-group type = P-6m2
- D(E_F) (states/eV/cell) = 20.895


b.
Here is crystalline Tb5YHo5 at its relaxed geometry from the Alexandria database. Energies are from GGA-PBE.

Structure (POSCAR):
```
Tb5YHo5
1.0
6.681 -0.023 1.921
-4.257 7.897 -3.002
2.896 0.279 7.603
Tb Y Ho
5 1 5
Cartesian
3.420 5.090 0.898
4.169 5.335 4.615
3.340 -0.012 0.961
1.151 2.818 1.907
1.900 3.063 5.624
0.000 0.000 0.000
4.351 2.295 3.146
5.378 2.670 6.340
1.448 0.139 3.801
-0.058 5.483 0.181
0.969 5.858 3.375
```

- space-group type = P-1
- D(E_F) (states/eV/cell) = 16.528


Relative energies, eV/atom: a 0.171; b 0.000.